Sr2Li2Tl3 PBE relaxed; VASP energy = -2.33 eV/atom; formation energy from the elements = -193 kJ/mol of formula units; space-group type = Cmmm, No. 65; excess energy over the best structure of this formula in the dataset = 0.00 eV per formula unit
1.0
-1.064 -0.571 -3.903
-0.847 -3.596 0.757
-12.608 3.147 0.839
Sr Li Tl
2 2 3
Direct
0.583 0.500 0.833 Sr
0.417 0.500 0.167 Sr
0.716 0.500 0.568 Li
0.284 0.500 0.432 Li
0.824 0.000 0.351 Tl
0.000 0.000 0.000 Tl
0.176 0.000 0.649 Tl



Zn2HgC2 PBE relaxed; VASP energy = -2.76 eV/atom; formation energy from the elements = 722 kJ/mol of formula units; space-group type = I4/mmm, No. 139; excess energy over the best structure of this formula in the dataset = 0.00 eV per formula unit
1.0
-0.272 -1.931 3.228
3.546 -1.211 -0.426
3.739 3.459 4.587
C Zn Hg
2 2 1
Direct
0.750 0.250 0.500 C
0.250 0.750 0.500 C
0.316 0.316 0.369 Zn
0.684 0.684 0.631 Zn
0.000 0.000 0.000 Hg



K3Cd2In9 PBE relaxed; VASP energy = -2.23 eV/atom; formation energy from the elements = -140 kJ/mol of formula units; space-group type = Immm, No. 71
1.0
5.126 0.000 0.000
2.563 9.180 0.278
2.563 2.351 8.879
K Cd In
3 2 9
Direct
0.000 0.000 0.000 K
0.704 0.296 0.296 K
0.296 0.704 0.704 K
0.500 0.322 0.678 Cd
0.500 0.678 0.322 Cd
0.000 0.500 0.500 In
0.659 0.979 0.704 In
0.341 0.021 0.296 In
0.659 0.704 0.979 In
0.341 0.296 0.021 In
0.859 0.859 0.423 In
0.141 0.141 0.577 In
0.859 0.423 0.859 In
0.141 0.577 0.141 In



Ho2Ge3Pt5 PBE relaxed; VASP energy = -6.20 eV/atom; formation energy from the elements = -844 kJ/mol of formula units; space-group type = Cmc2_1, No. 36; excess energy over the best structure of this formula in the dataset = 0.05 eV per formula unit
1.0
-2.088 0.182 -3.674
4.925 -3.889 -2.991
-5.115 -10.196 4.837
Ho Ge Pt
4 6 10
Direct
0.477 0.712 0.954 Ho
0.176 0.771 0.352 Ho
0.824 0.271 0.648 Ho
0.523 0.212 0.046 Ho
0.779 0.810 0.558 Ge
0.617 0.479 0.235 Ge
0.046 0.895 0.093 Ge
0.221 0.310 0.442 Ge
0.954 0.395 0.907 Ge
0.383 0.979 0.765 Ge
0.400 0.402 0.800 Pt
0.300 0.581 0.599 Pt
0.700 0.081 0.401 Pt
0.121 0.182 0.242 Pt
0.279 0.013 0.559 Pt
0.947 0.021 0.894 Pt
0.721 0.513 0.441 Pt
0.879 0.682 0.758 Pt
0.053 0.521 0.106 Pt
0.600 0.902 0.200 Pt